This record from the Open Quantum Materials Database describes an optimized crystal structure of Y2HoSc3Te2Au. The functional is PBE.

Structure (CIF):
```
data_Y2HoSc3Te2Au
_space_group_name_H-M_alt 'A m m 2'
_space_group_IT_number 38
_cell_length_a 3.979
_cell_length_b 13.929
_cell_length_c 8.021
_cell_angle_alpha 90.00
_cell_angle_beta 90.00
_cell_angle_gamma 90.00
loop_
_space_group_symop_operation_xyz
'x,y,z'
'-x,-y,z'
'-x,y,z'
'x,-y,z'
'x,y+1/2,z+1/2'
'-x,-y+1/2,z+1/2'
'-x,y+1/2,z+1/2'
'x,-y+1/2,z+1/2'
loop_
_atom_site_label
_atom_site_type_symbol
_atom_site_fract_x
_atom_site_fract_y
_atom_site_fract_z
Y1 Y 0.000 0.199 0.000
Ho1 Ho 0.000 0.000 0.597
Sc1 Sc 0.500 0.000 0.953
Sc2 Sc 0.500 0.123 0.322
Te1 Te 0.500 0.166 0.699
Au1 Au 0.000 0.000 0.201
```

Computed properties:
total moment	0.012	μB per atom
total energy	-0.43577	Ry/atom

=====

This record from the Open Quantum Materials Database describes an optimized crystal structure of Dy3Tm3FeBi2. The functional is PBE.

Structure (CIF):
```
data_Dy3Tm3FeBi2
_space_group_name_H-M_alt 'P -6 2 m'
_space_group_IT_number 189
_space_group_name_Hall 'P -6 -2'
_cell_length_a 8.3002
_cell_length_b 8.3002
_cell_length_c 4.1237
_cell_angle_alpha 90.00
_cell_angle_beta 90.00
_cell_angle_gamma 120.00
loop_
_atom_site_label
_atom_site_type_symbol
_atom_site_fract_x
_atom_site_fract_y
_atom_site_fract_z
Dy1 Dy 0.0000 0.2296 0.0000
Tm1 Tm 0.0000 0.6070 0.5000
Fe1 Fe 0.0000 0.0000 0.5000
Bi1 Bi 0.3333 0.6667 0.0000
```

Computed properties:
energy relative to the lowest polymorph listed for this composition	52	meV per atom
total moment	0.007	μB per atom

=====

This record from the Open Quantum Materials Database describes an optimized crystal structure of ZrH30C16N4Cl2. The functional is PBE.

Structure (CIF):
```
data_ZrH30C16N4Cl2
_space_group_name_H-M_alt 'C 1 2/c 1'
_space_group_IT_number 15
_cell_length_a 19.769
_cell_length_b 7.287
_cell_length_c 13.392
_cell_angle_alpha 90.00
_cell_angle_beta 107.71
_cell_angle_gamma 90.00
loop_
_space_group_symop_operation_xyz
'x,y,z'
'-x,-y,-z'
'-x,y,-z+1/2'
'x,-y,z+1/2'
'x+1/2,y+1/2,z'
'-x+1/2,-y+1/2,-z'
'-x+1/2,y+1/2,-z+1/2'
'x+1/2,-y+1/2,z+1/2'
loop_
_atom_site_label
_atom_site_type_symbol
_atom_site_fract_x
_atom_site_fract_y
_atom_site_fract_z
Zr1 Zr 0.000 0.049 0.250
H1 H 0.018 0.481 0.095
H2 H 0.046 0.247 0.545
H3 H 0.069 0.452 0.276
H4 H 0.077 0.324 0.062
H5 H 0.079 0.052 0.496
H6 H 0.108 0.449 0.442
H7 H 0.119 0.048 0.147
H8 H 0.144 0.453 0.230
H9 H 0.166 0.318 0.543
H10 H 0.169 0.048 0.769
H11 H 0.181 0.083 0.422
H12 H 0.188 0.164 0.044
H13 H 0.208 0.305 0.393
H14 H 0.219 0.257 0.891
H15 H 0.234 0.305 0.719
C1 C 0.047 0.350 0.119
C2 C 0.062 0.195 0.477
C3 C 0.097 0.375 0.229
C4 C 0.125 0.307 0.466
C5 C 0.156 0.081 0.224
C6 C 0.162 0.220 0.392
C7 C 0.222 0.164 0.211
C8 C 0.231 0.192 0.117
N1 N 0.001 0.199 0.383
N2 N 0.117 0.195 0.281
Cl1 Cl 0.078 0.205 0.851
```

Computed properties:
total moment	0.000	μB per atom
total energy	-0.42188	Ry/atom